(1)
Entry from the Alexandria database: KBiSb after structural relaxation (PBE-GGA).

Calculated values
symmetry = Immm
uncorrected formation energy = -128 meV per atom
D(E_F) = 1.44 states/eV/f.u.
E above lowest polymorph = 126.5 meV per atom

Unit cell a=6.669 b=3.377 c=10.188 alpha=99.54 beta=109.11 gamma=90.00
Element x y z (fractional)
Sb  0.213  0.500  0.000
Sb  0.787  0.500  0.000
Bi  0.155  0.655  0.311
Bi  0.845  0.345  0.689
K  0.649  0.149  0.298
K  0.351  0.851  0.702


(2)
Entry from the Alexandria database: KBiSbSe3 after structural relaxation (PBE-GGA).

Calculated values
symmetry = P2_1/m
uncorrected formation energy = -518 meV per atom
D(E_F) = 1.37 states/eV/f.u.

Unit cell a=4.518 b=8.297 c=11.894 alpha=110.76 beta=90.00 gamma=90.00
Element x y z (fractional)
K  0.250  0.212  0.245
K  0.750  0.788  0.755
Sb  0.750  0.858  0.450
Sb  0.250  0.142  0.550
Se  0.250  0.623  0.906
Se  0.750  0.355  0.592
Se  0.250  0.645  0.408
Se  0.750  0.377  0.094
Se  0.750  0.897  0.241
Se  0.250  0.103  0.759
Bi  0.250  0.626  0.154
Bi  0.750  0.374  0.846


(3)
Entry from the Alexandria database: KBiSb2Se after structural relaxation (PBE-GGA).

Calculated values
symmetry = P4/mmm
uncorrected formation energy = 1085 meV per atom
D(E_F) = 8.77 states/eV/f.u.

Unit cell a=5.834 b=5.435 c=5.834 alpha=90.00 beta=90.00 gamma=90.00
Element x y z (fractional)
Se  0.000  0.500  0.000
Sb  0.500  0.000  0.000
Sb  0.000  0.000  0.500
Bi  0.500  0.500  0.500
K  0.000  0.000  0.000


(4)
Entry from the Alexandria database: K4Bi3SbSe8 after structural relaxation (PBE-GGA).

Calculated values
symmetry = R-3m
uncorrected formation energy = -777 meV per atom

Unit cell a=8.591 b=9.217 c=8.592 alpha=117.80 beta=120.00 gamma=90.00
Element x y z (fractional)
Se  0.234  0.711  0.469
Se  0.258  0.289  0.023
Se  0.234  0.711  0.977
Se  0.742  0.711  0.977
Se  0.766  0.289  0.531
Se  0.766  0.289  0.023
Se  0.262  0.286  0.524
Se  0.738  0.714  0.476
K  0.000  0.000  0.000
K  0.500  0.000  0.000
K  0.000  0.000  0.500
K  0.500  0.000  0.500
Bi  0.500  0.500  0.000
Bi  0.500  0.500  0.500
Bi  0.000  0.500  0.500
Sb  0.000  0.500  0.000


(5)
Entry from the Alexandria database: K2Sn5Bi2Sb2 after structural relaxation (PBE-GGA).

Calculated values
symmetry = I4/mmm
uncorrected formation energy = 83 meV per atom
D(E_F) = 4.24 states/eV/f.u.

Unit cell a=5.395 b=5.395 c=17.454 alpha=98.89 beta=98.89 gamma=90.00
Element x y z (fractional)
K  0.210  0.210  0.420
K  0.790  0.790  0.580
Sb  0.912  0.912  0.824
Sb  0.088  0.088  0.176
Sn  0.000  0.000  0.000
Sn  0.370  0.870  0.740
Sn  0.130  0.630  0.260
Sn  0.870  0.370  0.740
Sn  0.630  0.130  0.260
Bi  0.680  0.680  0.359
Bi  0.320  0.320  0.641


(6)
Entry from the Alexandria database: KBiSbTe2 after structural relaxation (PBE-GGA).

Calculated values
symmetry = P4/mmm
uncorrected formation energy = 78 meV per atom
D(E_F) = 5.19 states/eV/f.u.
E above lowest polymorph = 0.0 meV per atom

Unit cell a=6.128 b=6.128 c=5.870 alpha=90.00 beta=90.00 gamma=90.00
Element x y z (fractional)
K  0.500  0.500  0.500
Te  0.000  0.500  0.000
Te  0.500  0.000  0.000
Sb  0.000  0.000  0.500
Bi  0.000  0.000  0.000


(7)
Entry from the Alexandria database: K3Bi2SbTe6 after structural relaxation (PBE-GGA).

Calculated values
symmetry = C2/m
uncorrected formation energy = -593 meV per atom

Unit cell a=7.899 b=7.899 c=8.731 alpha=98.68 beta=98.68 gamma=120.00
Element x y z (fractional)
Sb  0.000  0.000  0.000
Te  0.070  0.397  0.210
Te  0.743  0.743  0.210
Te  0.397  0.070  0.210
Te  0.930  0.603  0.790
Te  0.257  0.257  0.790
Te  0.603  0.930  0.790
Bi  0.666  0.334  0.000
Bi  0.334  0.666  0.000
K  0.831  0.169  0.500
K  0.169  0.831  0.500
K  0.500  0.500  0.500


(8)
Entry from the Alexandria database: KBiSbTe2 after structural relaxation (PBE-GGA).

Calculated values
symmetry = P4/mmm
uncorrected formation energy = 1046 meV per atom
D(E_F) = 10.80 states/eV/f.u.
E above lowest polymorph = 967.7 meV per atom

Unit cell a=5.898 b=5.898 c=5.898 alpha=90.00 beta=90.00 gamma=90.00
Element x y z (fractional)
Te  0.500  0.000  0.000
Te  0.000  0.000  0.500
Bi  0.000  0.500  0.000
Sb  0.500  0.500  0.500
K  0.000  0.000  0.000


(9)
Entry from the Alexandria database: K2BiSb2Te6 after structural relaxation (PBE-GGA).

Calculated values
symmetry = C2/m
uncorrected formation energy = -412 meV per atom
D(E_F) = 6.39 states/eV/f.u.

Unit cell a=7.581 b=7.581 c=9.048 alpha=97.95 beta=97.95 gamma=120.25
Element x y z (fractional)
Te  0.932  0.590  0.294
Te  0.725  0.725  0.708
Te  0.275  0.275  0.292
Te  0.410  0.068  0.706
Te  0.590  0.932  0.294
Te  0.068  0.410  0.706
Sb  0.669  0.331  0.500
Sb  0.331  0.669  0.500
K  0.164  0.836  0.000
K  0.836  0.164  0.000
Bi  0.000  0.000  0.500


(10)
Entry from the Alexandria database: K4Bi3SbTe8 after structural relaxation (PBE-GGA).

Calculated values
symmetry = C2/m
uncorrected formation energy = -601 meV per atom

Unit cell a=9.141 b=9.855 c=9.142 alpha=117.68 beta=120.00 gamma=90.00
Element x y z (fractional)
Bi  0.500  0.500  0.500
Bi  0.500  0.500  0.000
Bi  0.000  0.500  0.500
Te  0.234  0.710  0.976
Te  0.738  0.712  0.475
Te  0.262  0.288  0.525
Te  0.742  0.710  0.976
Te  0.766  0.290  0.532
Te  0.766  0.290  0.024
Te  0.234  0.710  0.468
Te  0.258  0.290  0.024
Sb  0.000  0.500  0.000
K  0.000  0.000  0.500
K  0.500  0.000  0.000
K  0.000  0.000  0.000
K  0.500  0.000  0.500


(11)
Entry from the Alexandria database: KBiSbTe2 after structural relaxation (PBE-GGA).

Calculated values
symmetry = P4/mmm
uncorrected formation energy = 990 meV per atom
D(E_F) = 10.35 states/eV/f.u.
E above lowest polymorph = 912.1 meV per atom

Unit cell a=5.924 b=5.924 c=5.747 alpha=90.00 beta=90.00 gamma=90.00
Element x y z (fractional)
Bi  0.500  0.500  0.500
Te  0.500  0.000  0.000
Te  0.000  0.500  0.000
K  0.000  0.000  0.000
Sb  0.000  0.000  0.500


(12)
Entry from the Alexandria database: K2TiBiSb after structural relaxation (PBE-GGA).

Calculated values
symmetry = P4/mmm
uncorrected formation energy = 821 meV per atom
D(E_F) = 6.25 states/eV/f.u.

Unit cell a=6.775 b=5.774 c=6.775 alpha=90.00 beta=90.00 gamma=90.00
Element x y z (fractional)
K  0.500  0.000  0.000
K  0.000  0.000  0.500
Sb  0.000  0.500  0.000
Bi  0.000  0.000  0.000
Ti  0.500  0.500  0.500


(13)
Entry from the Alexandria database: KTlBi2Sb after structural relaxation (PBE-GGA).

Calculated values
symmetry = P4/mmm
uncorrected formation energy = 548 meV per atom
D(E_F) = 4.37 states/eV/f.u.

Unit cell a=5.879 b=5.997 c=5.879 alpha=90.00 beta=90.00 gamma=90.00
Element x y z (fractional)
Tl  0.000  0.000  0.000
K  0.000  0.500  0.000
Bi  0.000  0.000  0.500
Bi  0.500  0.000  0.000
Sb  0.500  0.500  0.500


(14)
Entry from the Alexandria database: K3Tl6Bi2Sb after structural relaxation (PBE-GGA).

Calculated values
symmetry = P-3m1
uncorrected formation energy = -117 meV per atom
D(E_F) = 5.77 states/eV/f.u.

Unit cell a=6.502 b=6.502 c=12.340 alpha=90.00 beta=90.00 gamma=120.00
Element x y z (fractional)
K  0.000  0.000  0.000
K  0.667  0.333  0.455
K  0.333  0.667  0.545
Tl  0.168  0.336  0.268
Tl  0.168  0.832  0.268
Tl  0.832  0.168  0.732
Tl  0.832  0.664  0.732
Tl  0.664  0.832  0.268
Tl  0.336  0.168  0.732
Bi  0.667  0.333  0.163
Bi  0.333  0.667  0.837
Sb  0.000  0.000  0.500


(15)
Entry from the Alexandria database: KTl2BiSb after structural relaxation (PBE-GGA).

Calculated values
symmetry = P4/mmm
uncorrected formation energy = 377 meV per atom
D(E_F) = 4.58 states/eV/f.u.

Unit cell a=5.963 b=6.593 c=5.963 alpha=90.00 beta=90.00 gamma=90.00
Element x y z (fractional)
Tl  0.500  0.000  0.000
Tl  0.000  0.000  0.500
K  0.000  0.500  0.000
Bi  0.000  0.000  0.000
Sb  0.500  0.500  0.500


(16)
Entry from the Alexandria database: K2TlBiSb2 after structural relaxation (PBE-GGA).

Calculated values
symmetry = Ibam
uncorrected formation energy = -237 meV per atom
D(E_F) = 1.87 states/eV/f.u.

Unit cell a=7.684 b=7.663 c=9.783 alpha=113.06 beta=113.13 gamma=90.00
Element x y z (fractional)
K  0.400  0.168  0.336
K  0.936  0.668  0.336
K  0.600  0.832  0.664
K  0.064  0.332  0.664
Tl  0.000  0.750  0.000
Tl  0.000  0.250  0.000
Bi  0.500  0.750  0.000
Bi  0.500  0.250  0.000
Sb  0.834  0.111  0.223
Sb  0.611  0.389  0.777
Sb  0.389  0.611  0.223
Sb  0.166  0.889  0.777


(17)
Entry from the Alexandria database: KVBi2Sb after structural relaxation (PBE-GGA).

Calculated values
symmetry = P4/mmm
uncorrected formation energy = 1496 meV per atom
D(E_F) = 3.17 states/eV/f.u.

Unit cell a=5.920 b=5.011 c=5.920 alpha=90.00 beta=90.00 gamma=90.00
Element x y z (fractional)
V  0.000  0.500  0.000
K  0.000  0.000  0.000
Bi  0.500  0.000  0.000
Bi  0.000  0.000  0.500
Sb  0.500  0.500  0.500


(18)
Entry from the Alexandria database: KSc2Bi after structural relaxation (PBE-GGA).

Calculated values
formation energy = 0.1699 eV per atom
symmetry = R-3m
D(E_F) = 4.43 states/eV/f.u.

Unit cell a=11.260 b=11.260 c=11.260 alpha=20.14 beta=20.14 gamma=20.14
Element x y z (fractional)
K  0.000  0.000  0.000
Sc  0.111  0.111  0.111
Sc  0.889  0.889  0.889
Bi  0.500  0.500  0.500


(19)
Entry from the Alexandria database: KScBi after structural relaxation (PBE-GGA).

Calculated values
formation energy = -0.4347 eV per atom
symmetry = I4/mmm
D(E_F) = 1.84 states/eV/f.u.

Unit cell a=4.741 b=4.741 c=9.800 alpha=104.00 beta=104.00 gamma=90.00
Element x y z (fractional)
K  0.320  0.320  0.641
K  0.680  0.680  0.359
Sc  0.000  0.500  0.000
Sc  0.500  0.000  0.000
Bi  0.891  0.891  0.782
Bi  0.109  0.109  0.218


(20)
Entry from the Alexandria database: KScBi3 after structural relaxation (PBE-GGA).

Calculated values
formation energy = -0.2004 eV per atom
symmetry = Pm-3m
D(E_F) = 3.60 states/eV/f.u.
E above lowest polymorph = 0.0 meV per atom

Unit cell a=5.711 b=5.711 c=5.711 alpha=90.00 beta=90.00 gamma=90.00
Element x y z (fractional)
K  0.500  0.500  0.500
Bi  0.500  0.000  0.000
Bi  0.000  0.000  0.500
Bi  0.000  0.500  0.000
Sc  0.000  0.000  0.000


no.,calculated density (kg/m3)
1,5755
2,4833
3,5121
4,5140
5,4467
6,4709
7,5252
8,5059
9,4988
10,5313
11,5145
12,2862
13,6274
14,6922
15,5515
16,5093
17,5954
18,3791
19,4702
20,6340